This record from Alexandria describes an optimized crystal structure of Tl3WI2F6. The functional is PBE with a Hubbard U.

Values from the calculation:
Magnetic moment   2.00 Bohr magnetons per cell
V   754 Å³/cell
Total energy   -4.277 eV/atom

Cell lengths 17.2504, 8.0566, 5.4350 Å; angles 90.00, 93.65, 90.00 degrees
Last column: nearest neighbours and their distance in Å.
Space group C2/m (No. 12)
Unique sites:
Tl: 0.0000 0.0000 0.0000 x2  4 F 2.99
Tl: 0.2500 0.2500 0.5000 x4  2 F 3.11
W: 0.0000 0.5000 0.5000 x2  6 F 1.93-1.97
I: 0.1961 0.0000 0.9899 x4  5 Tl 3.39-3.51
F: 0.0153 0.3235 0.7388 x8  1 W 1.93
F: 0.1128 0.5000 0.4578 x4  1 W 1.97